The following is a DFT calculation (PBE) of crystalline CsLiTePd at its relaxed geometry.

a = 5.268 Å, b = 5.268 Å, c = 5.268 Å
α = 60.00°, β = 60.00°, γ = 60.00°
Fractional coordinates of all 4 atoms:
Cs  0.500  0.500  0.500
Li  0.750  0.750  0.750
Pd  0.250  0.250  0.250
Te  0.000  0.000  0.000

Calculated values
SG: F-43m, No. 216
distance to the lowest polymorph of the same formula: 0.000 eV per atom